w | First-principles (PBE-GGA) data for crystalline Cd4In at its relaxed geometry, as listed in Alexandria via LeMat-Bulk.

crystal system: cubic
ρ: 5296 kg/m3
SG: Pm-3m
magnetic moment: 0.0 μB/f.u.

The structure in POSCAR format:
```
Cd4In
1.0
5.614 0.000 0.000
0.000 5.614 0.000
0.000 0.000 5.614
Cd In
4 1
Direct
0.000 0.000 0.000
0.000 0.500 0.500
0.500 0.000 0.500
0.500 0.500 0.000
0.500 0.500 0.500
```

=====

x | First-principles (PBE-GGA) data for crystalline Cd4In at its relaxed geometry, as listed in Alexandria via LeMat-Bulk.

crystal system: tetragonal
ρ: 7381 kg/m3
SG: P4/nbm
magnetic moment: 0.0 μB/f.u.

The structure in POSCAR format:
```
Cd4In
1.0
6.038 0.000 0.000
0.000 6.038 0.000
0.000 0.000 6.968
Cd In
8 2
Direct
0.074 0.574 0.193
0.074 0.926 0.807
0.426 0.574 0.807
0.426 0.926 0.193
0.574 0.074 0.807
0.574 0.426 0.193
0.926 0.074 0.193
0.926 0.426 0.807
0.250 0.250 0.500
0.750 0.750 0.500
```

=====

x comes first in stability; the runner-up is 0.233 eV/atom higher.

=====

w | First-principles (PBE-GGA) data for crystalline Cd7In2 at its relaxed geometry, as listed in Alexandria via LeMat-Bulk.

crystal system: trigonal
ρ: 7951 kg/m3
SG: P-31m
magnetic moment: 0.0 μB/f.u.

The structure in POSCAR format:
```
Cd7In2
1.0
5.668 0.000 0.000
-2.834 4.908 0.000
0.000 0.000 7.631
Cd In
7 2
Direct
0.000 0.000 0.000
0.000 0.330 0.663
0.000 0.670 0.337
0.330 0.000 0.663
0.330 0.330 0.337
0.670 0.000 0.337
0.670 0.670 0.663
0.333 0.667 0.000
0.667 0.333 0.000
```

=====

x | First-principles (PBE-GGA) data for crystalline Cd7In2 at its relaxed geometry, as listed in Alexandria via LeMat-Bulk.

crystal system: trigonal
ρ: 7388 kg/m3
SG: R-3m
magnetic moment: 0.0 μB/f.u.

The structure in POSCAR format:
```
Cd7In2
1.0
2.970 1.715 14.959
-2.970 1.715 14.959
0.000 -3.429 14.959
Cd In
14 4
Direct
0.000 0.000 0.000
0.000 0.000 0.500
0.000 0.500 0.000
0.109 0.109 0.109
0.116 0.116 0.609
0.116 0.609 0.116
0.223 0.223 0.223
0.391 0.884 0.884
0.500 0.000 0.000
0.609 0.116 0.116
0.777 0.777 0.777
0.884 0.391 0.884
0.884 0.884 0.391
0.891 0.891 0.891
0.350 0.350 0.350
0.459 0.459 0.459
0.541 0.541 0.541
0.650 0.650 0.650
```

=====

w comes first in stability; the runner-up is 0.050 eV/atom higher.

=====

w | First-principles (PBE-GGA) data for crystalline Cd2In3 at its relaxed geometry, as listed in Alexandria via LeMat-Bulk.

crystal system: trigonal
ρ: 7122 kg/m3
SG: R-3c
magnetic moment: 0.0 μB/f.u.

The structure in POSCAR format:
```
Cd2In3
1.0
4.356 2.515 4.039
-4.356 2.515 4.039
0.000 -5.030 4.039
Cd In
4 6
Direct
0.122 0.122 0.122
0.378 0.378 0.378
0.622 0.622 0.622
0.878 0.878 0.878
0.066 0.750 0.434
0.250 0.566 0.934
0.434 0.066 0.750
0.566 0.934 0.250
0.750 0.434 0.066
0.934 0.250 0.566
```

=====

x | First-principles (PBE-GGA) data for crystalline Cd2In3 at its relaxed geometry, as listed in Alexandria via LeMat-Bulk.

crystal system: trigonal
ρ: 7338 kg/m3
SG: R-3m
magnetic moment: 0.0 μB/f.u.

The structure in POSCAR format:
```
Cd2In3
1.0
1.743 1.007 12.234
-1.743 1.007 12.234
0.000 -2.013 12.234
Cd In
2 3
Direct
0.100 0.100 0.100
0.900 0.900 0.900
0.298 0.298 0.298
0.500 0.500 0.500
0.702 0.702 0.702
```

=====

x comes first in stability; the runner-up is 0.029 eV/atom higher.